# BMoI2O GGA+U relaxed
# Polymorph energy (0 for the lowest one) = 0.00 eV/f.u.
# E = -3.925 eV per atom
# Space group = P4/mmm
data_BMoI2O
_symmetry_space_group_name_H-M 'P 1'
_symmetry_Int_Tables_number 1
_cell_length_a 5.942
_cell_length_b 5.942
_cell_length_c 3.102
_cell_angle_alpha 90.00
_cell_angle_beta 90.00
_cell_angle_gamma 90.00
loop_
_symmetry_equiv_pos_as_xyz
'x,y,z'
loop_
_atom_site_label
_atom_site_fract_x
_atom_site_fract_y
_atom_site_fract_z
_atom_site_occupancy
I1 0.000 0.500 0.000 1
I2 0.500 0.000 0.000 1
Mo1 0.500 0.500 0.500 1
B1 0.000 0.000 0.000 1
O1 0.000 0.000 0.500 1


# BMoI2O GGA+U relaxed
# Polymorph energy (0 for the lowest one) = 0.46 eV/f.u.
# E = -3.833 eV per atom
# Space group = P4/mmm
data_BMoI2O
_symmetry_space_group_name_H-M 'P 1'
_symmetry_Int_Tables_number 1
_cell_length_a 5.894
_cell_length_b 5.894
_cell_length_c 3.884
_cell_angle_alpha 90.00
_cell_angle_beta 90.00
_cell_angle_gamma 90.00
loop_
_symmetry_equiv_pos_as_xyz
'x,y,z'
loop_
_atom_site_label
_atom_site_fract_x
_atom_site_fract_y
_atom_site_fract_z
_atom_site_occupancy
I1 0.000 0.500 0.000 1
I2 0.500 0.000 0.000 1
Mo1 0.000 0.000 0.000 1
B1 0.500 0.500 0.500 1
O1 0.000 0.000 0.500 1


# BMoIO2 GGA+U relaxed
# Polymorph energy (0 for the lowest one) = 3.19 eV/f.u.
# E = -4.361 eV per atom
# Space group = P4/mmm
data_BMoIO2
_symmetry_space_group_name_H-M 'P 1'
_symmetry_Int_Tables_number 1
_cell_length_a 3.886
_cell_length_b 3.886
_cell_length_c 4.634
_cell_angle_alpha 90.00
_cell_angle_beta 90.00
_cell_angle_gamma 90.00
loop_
_symmetry_equiv_pos_as_xyz
'x,y,z'
loop_
_atom_site_label
_atom_site_fract_x
_atom_site_fract_y
_atom_site_fract_z
_atom_site_occupancy
I1 0.000 0.000 0.500 1
Mo1 0.500 0.500 0.500 1
B1 0.000 0.000 0.000 1
O1 0.000 0.500 0.000 1
O2 0.500 0.000 0.000 1


# BMoIO2 GGA+U relaxed
# Polymorph energy (0 for the lowest one) = 0.00 eV/f.u.
# E = -4.999 eV per atom
# Space group = P4/mmm
data_BMoIO2
_symmetry_space_group_name_H-M 'P 1'
_symmetry_Int_Tables_number 1
_cell_length_a 3.878
_cell_length_b 3.878
_cell_length_c 7.489
_cell_angle_alpha 90.00
_cell_angle_beta 90.00
_cell_angle_gamma 90.00
loop_
_symmetry_equiv_pos_as_xyz
'x,y,z'
loop_
_atom_site_label
_atom_site_fract_x
_atom_site_fract_y
_atom_site_fract_z
_atom_site_occupancy
I1 0.000 0.000 0.500 1
Mo1 0.000 0.000 0.000 1
B1 0.500 0.500 0.500 1
O1 0.000 0.500 0.000 1
O2 0.500 0.000 0.000 1